# 1
A geometry-optimized HgTePd3 structure, computed with PBE-GGA.

a = 4.361 Å, b = 5.796 Å, c = 7.608 Å
α = 90.00°, β = 90.05°, γ = 90.00°
Space group P2_1/m (No. 11)
One atom of each set of equivalent atoms:
Hg 0.250 0.250 0.132
Te 0.251 0.750 0.426
Pd 0.249 0.007 0.723
Pd 0.250 0.750 0.080

Results
**Volume**: 19.23 A^3/atom
**Offset from the most stable computed form**: 0 meV/atom
**Formation energy without anion corrections**: -0.22 eV per atom


# 2
A geometry-optimized Hg2Te2Pd structure, computed with PBE-GGA.

a = 7.675 Å, b = 7.675 Å, c = 4.631 Å
α = 90.00°, β = 90.00°, γ = 90.00°
Space group P4/mbm (No. 127)
One atom of each set of equivalent atoms:
Hg 0.131 0.369 0.000
Te 0.205 0.705 0.500
Pd 0.000 0.000 0.500

Results
**Volume**: 27.28 A^3/atom
**Offset from the most stable computed form**: 190 meV/atom
**Formation energy without anion corrections**: 0.02 eV per atom


# 3
A geometry-optimized Hg2Te2Pd structure, computed with PBE-GGA.

a = 4.0838 Å, b = 4.0838 Å, c = 28.8597 Å
α = 90.00°, β = 90.00°, γ = 120.00°
Space group R-3m (No. 166, hexagonal axes)
One atom of each set of equivalent atoms:
Hg 0.0000 0.0000 0.1319
Te 0.0000 0.0000 0.3815
Pd 0.0000 0.0000 0.0000

Results
**Volume**: 27.79 A^3/atom
**Offset from the most stable computed form**: 0 meV/atom
**Formation energy without anion corrections**: -0.17 eV per atom